{"formula": "TbPm2Gd", "functional": "PBE-GGA", "state": "relaxed", "lattice": [[3.618, 0.000, 0.000], [0.000, 3.618, 0.000], [0.000, 0.000, 10.184]], "species": ["Gd", "Tb", "Pm", "Pm"], "fractional_positions": [[0.500, 0.500, 0.000], [0.500, 0.500, 0.500], [0.000, 0.000, 0.748], [0.000, 0.000, 0.252]], "m_tot_mub_per_cell": 7.2, "e_form_ev_per_atom": 0.02}